A plane-wave DFT calculation with PBE-GGA was carried out for a relaxed YRu3Rh crystal.

SG = Pm-3m
ΔE_f = 2.2606 eV per atom
Spin magnetization = 5.61 μB/cell
Uncorrected energy = -6.07 eV per atom
Relative energy among the computed polymorphs = 6.070 eV per formula unit

Cell lengths 4.786, 4.786, 4.786 Å; angles 90.00, 90.00, 90.00 degrees
Site moments in Bohr magnetons follow the coordinates.
Atoms (fractional coordinates):
Y 0.000 0.000 0.000  -0.13
Ru 0.000 0.500 0.000  1.50
Ru 0.000 0.000 0.500  1.37
Ru 0.500 0.000 0.000  1.52
Rh 0.500 0.500 0.500  1.36